Computed, not measured: ZnOsPb2 after structural relaxation at the PBE-GGA level of DFT.

VASP energy	-4.1058	eV/atom
energy of formation from the pure elements	0.87	eV per atom

```
ZnOsPb2
1.0
3.579 0.000 0.000
0.000 4.487 0.000
0.000 0.000 5.332
Zn Os Pb
1 1 2
Direct
0.000 0.000 0.000
0.500 0.000 0.500
0.000 0.500 0.500
0.500 0.500 0.000
```


Computed, not measured: Pu5Ge2N2 after structural relaxation at the PBE-GGA level of DFT.

energy relative to the elements, uncorrected	-0.624	eV per atom
VASP energy	-11.4625	eV/atom

```
Pu5Ge2N2
1.0
-9.750 3.272 3.153
9.750 -3.272 3.153
9.750 3.272 -3.153
Pu Ge N
10 4 4
Direct
0.199 0.032 0.667
0.250 0.005 0.256
0.250 0.495 0.745
0.364 0.532 0.333
0.731 0.108 0.331
0.731 0.900 0.124
0.750 0.505 0.255
0.750 0.995 0.744
0.777 0.400 0.669
0.777 0.608 0.876
0.236 0.356 0.090
0.236 0.646 0.380
0.266 0.146 0.910
0.266 0.856 0.620
0.551 0.395 0.656
0.739 0.895 0.344
0.751 0.251 0.500
0.751 0.751 0.000
```


Computed, not measured: Tb3Sm6Y2Tl after structural relaxation at the PBE-GGA level of DFT.

VASP energy	-4.8061	eV/atom
energy of formation from the pure elements	-0.01	eV per atom

```
Tb3Sm6Y2Tl
1.0
3.087 -5.361 0.000
3.087 5.361 0.000
-2.091 0.000 11.609
Tb Sm Y Tl
3 6 2 1
Direct
0.000 0.000 0.000
0.332 0.668 0.000
0.668 0.332 0.000
0.090 0.418 0.252
0.254 0.254 0.750
0.418 0.090 0.252
0.582 0.910 0.748
0.746 0.746 0.250
0.910 0.582 0.748
0.166 0.834 0.500
0.834 0.166 0.500
0.500 0.500 0.500
```


Computed, not measured: CaMoWBr2 after structural relaxation at the PBE-GGA level of DFT.

energy relative to the elements, uncorrected	1.809	eV per atom
VASP energy	-4.0178	eV/atom

```
CaMoWBr2
1.0
5.194 0.000 0.000
0.000 5.194 0.000
0.000 0.000 6.413
Ca Mo W Br
1 1 1 2
Direct
0.000 0.000 0.000
0.000 0.000 0.500
0.500 0.500 0.500
0.000 0.500 0.000
0.500 0.000 0.000
```


Computed, not measured: YPaP2Ir5 after structural relaxation at the PBE-GGA level of DFT.

VASP energy	-8.4547	eV/atom
energy of formation from the pure elements	-0.56	eV per atom

```
YPaP2Ir5
1.0
4.031 0.000 0.000
0.000 4.031 0.000
0.000 0.000 10.972
Y Pa P Ir
1 1 2 5
Direct
0.000 0.000 0.000
0.000 0.000 0.500
0.500 0.500 0.291
0.500 0.500 0.709
0.000 0.500 0.199
0.000 0.500 0.801
0.500 0.000 0.199
0.500 0.000 0.801
0.500 0.500 0.500
```


Computed, not measured: ReBrCl2 after structural relaxation at the PBE-GGA level of DFT.

energy relative to the elements, uncorrected	0.435	eV per atom
distance to the lowest polymorph of the same formula	0.600	eV/atom
VASP energy	-4.0182	eV/atom

```
ReBrCl2
1.0
1.488 -2.962 0.000
1.488 2.962 0.000
0.000 0.000 10.211
Re Br Cl
1 1 2
Direct
0.000 0.000 0.000
0.500 0.500 0.802
0.000 0.000 0.501
0.500 0.500 0.182
```


Computed, not measured: Th4SiBr5 after structural relaxation at the PBE-GGA level of DFT.

energy relative to the elements, uncorrected	-1.210	eV per atom
VASP energy	-5.5562	eV/atom

```
Th4SiBr5
1.0
8.849 -1.964 0.000
8.849 1.964 0.000
-1.226 0.000 9.022
Th Si Br
4 1 5
Direct
0.003 0.003 0.220
0.335 0.335 0.942
0.665 0.665 0.058
0.997 0.997 0.780
0.500 0.500 0.000
0.167 0.167 0.794
0.170 0.170 0.322
0.500 0.500 0.500
0.830 0.830 0.678
0.833 0.833 0.206
```


Computed, not measured: BaInBrO2 after structural relaxation at the PBE-GGA level of DFT.

energy relative to the elements, uncorrected	-1.747	eV per atom
VASP energy	-4.9967	eV/atom

```
BaInBrO2
1.0
2.188 -6.355 0.000
2.188 6.355 0.000
0.000 0.000 7.970
Ba In Br O
2 2 2 4
Direct
0.222 0.778 0.750
0.778 0.222 0.250
0.500 0.500 0.000
0.500 0.500 0.500
0.051 0.949 0.250
0.949 0.051 0.750
0.348 0.652 0.047
0.348 0.652 0.453
0.652 0.348 0.547
0.652 0.348 0.953
```


Computed, not measured: TePtCl after structural relaxation at the PBE-GGA level of DFT.

energy relative to the elements, uncorrected	-0.458	eV per atom
VASP energy	-4.1346	eV/atom

```
TePtCl
1.0
3.752 0.000 0.000
0.000 5.738 0.000
0.000 0.000 7.497
Te Pt Cl
2 2 2
Direct
0.250 0.250 0.104
0.750 0.750 0.896
0.250 0.750 0.135
0.750 0.250 0.865
0.250 0.250 0.644
0.750 0.750 0.356
```


Computed, not measured: BeGeS2 after structural relaxation at the PBE-GGA level of DFT.

energy relative to the elements, uncorrected	-0.258	eV per atom
distance to the lowest polymorph of the same formula	0.146	eV/atom
VASP energy	-4.4078	eV/atom

```
BeGeS2
1.0
2.043 1.179 6.513
-2.043 1.179 6.513
0.000 -2.359 6.513
Be Ge S
1 1 2
Direct
0.000 0.000 0.000
0.500 0.500 0.500
0.096 0.096 0.096
0.904 0.904 0.904
```


Computed, not measured: ZnFeMo2 after structural relaxation at the PBE-GGA level of DFT.

VASP energy	-7.6865	eV/atom
energy of formation from the pure elements	0.16	eV per atom

```
ZnFeMo2
1.0
-1.864 1.864 4.109
1.864 -1.864 4.109
1.864 1.864 -4.109
Zn Fe Mo
1 1 2
Direct
0.000 0.000 0.000
0.500 0.500 0.000
0.250 0.750 0.500
0.750 0.250 0.500
```


Computed, not measured: CaLaEuIn after structural relaxation at the PBE-GGA level of DFT.

VASP energy	-5.1588	eV/atom
energy of formation from the pure elements	-0.17	eV per atom

```
CaLaEuIn
1.0
0.000 4.047 4.047
4.047 0.000 4.047
4.047 4.047 0.000
Ca La Eu In
1 1 1 1
Direct
0.000 0.000 0.000
0.500 0.500 0.500
0.250 0.250 0.250
0.750 0.750 0.750
```